[1]
Density functional theory data (PBE) for TaRuRh2 after structural relaxation.

The calculation puts the formation energy at -0.238 eV/atom. For the excess energy over the best structure of this formula in the dataset, the calculation gives 234.6 meV per atom. The crystal system is monoclinic.

Structure (CIF):
```
data_TaRuRh2
_space_group_name_H-M_alt 'C 1 2/m 1'
_space_group_IT_number 12
_cell_length_a 9.171
_cell_length_b 2.831
_cell_length_c 4.715
_cell_angle_alpha 90.00
_cell_angle_beta 100.95
_cell_angle_gamma 90.00
loop_
_space_group_symop_operation_xyz
'x,y,z'
'-x,-y,-z'
'-x,y,-z'
'x,-y,z'
'x+1/2,y+1/2,z'
'-x+1/2,-y+1/2,-z'
'-x+1/2,y+1/2,-z'
'x+1/2,-y+1/2,z'
loop_
_atom_site_label
_atom_site_type_symbol
_atom_site_fract_x
_atom_site_fract_y
_atom_site_fract_z
_atom_site_occupancy
Ta1 Ta 0.000 0.000 0.000 1
Ru1 Ru 0.000 0.500 0.500 1
Rh1 Rh 0.249 0.000 0.744 1
```


[2]
Density functional theory data (PBE) for Ce3URh12 after structural relaxation.

The calculation puts the formation energy at -0.659 eV/atom. The crystal system is tetragonal.

Structure (CIF):
```
data_Ce3URh12
_space_group_name_H-M_alt 'P 4/m m m'
_space_group_IT_number 123
_space_group_name_Hall '-P 4 2'
_cell_length_a 4.049
_cell_length_b 4.049
_cell_length_c 16.249
_cell_angle_alpha 90.00
_cell_angle_beta 90.00
_cell_angle_gamma 90.00
loop_
_atom_site_label
_atom_site_type_symbol
_atom_site_fract_x
_atom_site_fract_y
_atom_site_fract_z
_atom_site_occupancy
Ce1 Ce 0.000 0.000 0.000 1
Ce2 Ce 0.000 0.000 0.250 1
U1 U 0.000 0.000 0.500 1
Rh1 Rh 0.000 0.500 0.126 1
Rh2 Rh 0.000 0.500 0.381 1
Rh3 Rh 0.500 0.500 0.000 1
Rh4 Rh 0.500 0.500 0.252 1
Rh5 Rh 0.500 0.500 0.500 1
```


[3]
Density functional theory data (PBE) for MgWCl2 after structural relaxation.

For the excess energy over the best structure of this formula in the dataset, the calculation gives 692.3 meV per atom. The uncorrected formation energy is 0.4918 eV/atom. The crystal system is tetragonal.

Structure (CIF):
```
data_MgWCl2
_space_group_name_H-M_alt 'P 4/m m m'
_space_group_IT_number 123
_space_group_name_Hall '-P 4 2'
_cell_length_a 3.058
_cell_length_b 3.058
_cell_length_c 9.271
_cell_angle_alpha 90.00
_cell_angle_beta 90.00
_cell_angle_gamma 90.00
loop_
_atom_site_label
_atom_site_type_symbol
_atom_site_fract_x
_atom_site_fract_y
_atom_site_fract_z
_atom_site_occupancy
Mg1 Mg 0.000 0.000 0.000 1
W1 W 0.000 0.000 0.500 1
Cl1 Cl 0.500 0.500 0.339 1
```


no.,DOS at the Fermi energy (states/eV per atom),size of the total moment (μB per formula unit)
1,0.9535,0.00
2,0.9461,0.00
3,0.8289,0.65